[1]
Entry from Alexandria via LeMat-Bulk: a relaxed Zn7GaCu5 crystal (PBE-GGA).

Lattice parameters (Å, degrees): 6.5855 6.5855 4.9679 111.15 111.15 82.94
Last column: nearest neighbours and their distance in Å.
Fractional coordinates of all 13 atoms:
Zn (0.0000, 0.0000, 0.0000)  4 Cu 2.50-2.51, 6 Zn 2.66-2.75
Zn (0.0354, 0.4314, 0.2302)  5 Cu 2.49-2.64, 2 Zn 2.66-2.78
Zn (0.4314, 0.0354, 0.2302)  5 Cu 2.49-2.64, 2 Zn 2.66-2.78
Zn (0.5670, 0.8832, 0.7242)  5 Cu 2.58-2.69, 4 Zn 2.75-2.79
Zn (0.5695, 0.5695, 0.0663)  6 Cu 2.63-2.66, 1 Zn 2.75, 1 Ga 2.85
Zn (0.8832, 0.5670, 0.7242)  5 Cu 2.58-2.69, 4 Zn 2.75-2.79
Zn (0.8873, 0.8873, 0.3914)  4 Cu 2.63, 3 Zn 2.66-2.75
Ga (0.2404, 0.2404, 0.7342)  8 Zn 2.85-3.05, 1 Cu 3.10
Cu (0.2282, 0.7285, 0.7299)  3 Cu 2.48-2.52, 7 Zn 2.51-2.63
Cu (0.2295, 0.7331, 0.2310)  3 Cu 2.48-2.52, 7 Zn 2.49-2.69
Cu (0.4646, 0.4646, 0.4630)  4 Cu 2.52, 6 Zn 2.63-2.66
Cu (0.7285, 0.2282, 0.7299)  3 Cu 2.48-2.52, 7 Zn 2.51-2.63
Cu (0.7331, 0.2295, 0.2310)  3 Cu 2.48-2.52, 7 Zn 2.49-2.69

Values from the calculation:
Energy of formation ... -0.0251 eV/atom
Magnetic moment ... 0.00 μB per formula unit
V ... 187 Å³/f.u.
Final energy ... -32.75 eV/cell

=====

[2]
Entry from Alexandria via LeMat-Bulk: a relaxed ZnGaCu2 crystal (PBE-GGA).

Lattice parameters (Å, degrees): 3.1034 3.1034 5.5990 90.00 90.00 90.00
Last column: nearest neighbours and their distance in Å.
Fractional coordinates of all 4 atoms:
Zn (0.0000, 0.0000, 0.0000)  8 Cu 2.59, 2 Ga 2.80
Ga (0.0000, 0.0000, 0.5000)  8 Cu 2.62, 2 Zn 2.80
Cu (0.5000, 0.5000, 0.2456)  4 Zn 2.59, 4 Ga 2.62, 2 Cu 2.75-2.85
Cu (0.5000, 0.5000, 0.7544)  4 Zn 2.59, 4 Ga 2.62, 2 Cu 2.75-2.85

Values from the calculation:
Energy of formation ... -0.0546 eV/atom
Magnetic moment ... 0.00 μB per formula unit
V ... 54 Å³/f.u.
Final energy ... -12.71 eV/cell

=====

[3]
Entry from Alexandria via LeMat-Bulk: a relaxed Zn6GaCu crystal (PBE-GGA).

Lattice parameters (Å, degrees): 3.9117 3.9117 7.8314 90.00 90.00 90.00
Last column: nearest neighbours and their distance in Å.
Fractional coordinates of all 8 atoms:
Zn (0.0000, 0.0000, 0.0000)  8 Zn 2.70, 4 Cu 2.77
Zn (0.0000, 0.0000, 0.5000)  4 Ga 2.77, 8 Zn 2.84
Zn (0.0000, 0.5000, 0.2369)  2 Cu 2.70, 8 Zn 2.70-2.84, 2 Ga 2.84
Zn (0.0000, 0.5000, 0.7631)  2 Cu 2.70, 8 Zn 2.70-2.84, 2 Ga 2.84
Zn (0.5000, 0.0000, 0.2369)  2 Cu 2.70, 8 Zn 2.70-2.84, 2 Ga 2.84
Zn (0.5000, 0.0000, 0.7631)  2 Cu 2.70, 8 Zn 2.70-2.84, 2 Ga 2.84
Ga (0.5000, 0.5000, 0.5000)  12 Zn 2.77-2.84
Cu (0.5000, 0.5000, 0.0000)  12 Zn 2.70-2.77

Values from the calculation:
Energy of formation ... 0.0258 eV/atom
Magnetic moment ... 0.00 μB per formula unit
V ... 120 Å³/f.u.
Final energy ... -14.56 eV/cell

=====

[4]
Entry from Alexandria via LeMat-Bulk: a relaxed Zn4GaCu2 crystal (PBE-GGA).

Lattice parameters (Å, degrees): 5.2683 6.4536 6.5075 97.36 100.58 102.02
Last column: nearest neighbours and their distance in Å.
Fractional coordinates of all 14 atoms:
Zn (0.0000, 0.0000, 0.0000)  4 Cu 2.55-2.66, 5 Zn 2.61-2.83, 2 Ga 2.71
Zn (0.0317, 0.3503, 0.7785)  3 Cu 2.54-2.58, 6 Zn 2.62-2.83
Zn (0.2013, 0.6841, 0.1120)  3 Cu 2.52-2.53, 6 Zn 2.61-2.80
Zn (0.2370, 0.4684, 0.4599)  4 Cu 2.56-2.66, 5 Zn 2.63-2.80, 2 Ga 2.71-2.72
Zn (0.3704, 0.0742, 0.3759)  6 Zn 2.58-2.79, 3 Cu 2.59-2.77, 2 Ga 2.76-2.84
Zn (0.5269, 0.3194, 0.7724)  4 Cu 2.51-2.74, 4 Zn 2.62-2.73
Zn (0.7073, 0.6917, 0.1482)  4 Cu 2.51-2.72, 4 Zn 2.62-2.70
Zn (0.8658, 0.0870, 0.3895)  6 Zn 2.58-2.77, 3 Cu 2.59-2.80, 2 Ga 2.79-2.80
Ga (0.1209, 0.8342, 0.6359)  2 Ga 2.63-2.64, 4 Zn 2.71-2.80, 2 Cu 2.72
Ga (0.6210, 0.8270, 0.6436)  2 Ga 2.63-2.64, 2 Cu 2.64-2.67, 4 Zn 2.71-2.84
Cu (0.3696, 0.3440, 0.1142)  7 Zn 2.51-2.59, 4 Cu 2.59-2.68
Cu (0.5021, 0.9880, 0.9985)  7 Zn 2.53-2.80, 2 Cu 2.60, 2 Ga 2.64-2.72
Cu (0.7358, 0.4676, 0.4756)  7 Zn 2.58-2.77, 2 Cu 2.60-2.66, 2 Ga 2.67-2.72
Cu (0.8626, 0.3478, 0.1189)  7 Zn 2.52-2.59, 4 Cu 2.59-2.68

Values from the calculation:
Energy of formation ... -0.0300 eV/atom
Magnetic moment ... 0.00 μB per formula unit
V ... 105 Å³/f.u.
Final energy ... -33.05 eV/cell
Excess energy over the best structure of this formula in the dataset ... 0.000 eV per atom

=====

[5]
Entry from Alexandria via LeMat-Bulk: a relaxed Zn3GaCu8 crystal (PBE-GGA).

Lattice parameters (Å, degrees): 6.3632 6.3632 6.3632 117.39 117.39 94.58
Last column: nearest neighbours and their distance in Å.
Fractional coordinates of all 12 atoms:
Zn (0.0000, 0.0000, 0.0000)  8 Cu 2.33-2.48
Zn (0.2500, 0.7500, 0.5000)  4 Cu 2.57
Zn (0.7500, 0.2500, 0.5000)  4 Cu 2.57
Ga (0.5000, 0.5000, 0.0000)  8 Cu 2.35-2.54
Cu (0.1094, 0.1094, 0.7266)  3 Cu 2.39-2.56, 3 Zn 2.48-2.57, 1 Ga 2.54
Cu (0.2424, 0.2424, 0.4977)  1 Zn 2.33, 1 Ga 2.35, 2 Cu 2.39-2.42
Cu (0.2554, 0.7576, 0.0000)  1 Zn 2.33, 1 Ga 2.35, 2 Cu 2.39-2.42
Cu (0.3828, 0.3828, 0.2734)  3 Cu 2.39-2.56, 3 Zn 2.48-2.57, 1 Ga 2.54
Cu (0.6172, 0.8906, 0.0000)  3 Cu 2.39-2.56, 3 Zn 2.48-2.57, 1 Ga 2.54
Cu (0.7446, 0.7446, 0.5023)  1 Zn 2.33, 1 Ga 2.35, 2 Cu 2.39-2.42
Cu (0.7576, 0.2554, 0.0000)  1 Zn 2.33, 1 Ga 2.35, 2 Cu 2.39-2.42
Cu (0.8906, 0.6172, 0.0000)  3 Cu 2.39-2.56, 3 Zn 2.48-2.57, 1 Ga 2.54

Values from the calculation:
Energy of formation ... 0.3274 eV/atom
Magnetic moment ... 0.00 μB per formula unit
V ... 189 Å³/f.u.
Final energy ... -35.69 eV/cell

=====

[6]
Entry from Alexandria via LeMat-Bulk: a relaxed Zn4GaCu crystal (PBE-GGA).

Lattice parameters (Å, degrees): 6.5544 6.4990 6.3097 61.53 60.65 57.81
Last column: nearest neighbours and their distance in Å.
Fractional coordinates of all 12 atoms:
Zn (0.0052, 0.7118, 0.2882)  2 Cu 2.61, 5 Zn 2.64-2.81, 2 Ga 2.75
Zn (0.2096, 0.5113, 0.7904)  2 Cu 2.63, 5 Zn 2.66-2.81, 2 Ga 2.76
Zn (0.2882, 0.9948, 0.0052)  2 Cu 2.61, 5 Zn 2.64-2.81, 2 Ga 2.75
Zn (0.4887, 0.7904, 0.5113)  2 Cu 2.63, 5 Zn 2.66-2.81, 2 Ga 2.76
Zn (0.5113, 0.2096, 0.4887)  2 Cu 2.63, 5 Zn 2.66-2.81, 2 Ga 2.76
Zn (0.7118, 0.0052, 0.9948)  2 Cu 2.61, 5 Zn 2.64-2.81, 2 Ga 2.75
Zn (0.7904, 0.4887, 0.2096)  2 Cu 2.63, 5 Zn 2.66-2.81, 2 Ga 2.76
Zn (0.9948, 0.2882, 0.7118)  2 Cu 2.61, 5 Zn 2.64-2.81, 2 Ga 2.75
Ga (0.0000, 0.0000, 0.5000)  2 Cu 2.38
Ga (0.5000, 0.5000, 0.0000)  2 Cu 2.38
Cu (0.2500, 0.2500, 0.2500)  2 Ga 2.38, 8 Zn 2.61-2.63
Cu (0.7500, 0.7500, 0.7500)  2 Ga 2.38, 8 Zn 2.61-2.63

Values from the calculation:
Energy of formation ... 0.0031 eV/atom
Magnetic moment ... 0.00 μB per formula unit
V ... 95 Å³/f.u.
Final energy ... -24.40 eV/cell
Excess energy over the best structure of this formula in the dataset ... 0.000 eV per atom

=====

[7]
Entry from Alexandria via LeMat-Bulk: a relaxed ZnGaCu crystal (PBE-GGA).

Lattice parameters (Å, degrees): 8.0130 3.7817 6.1765 90.00 90.00 90.00
Last column: nearest neighbours and their distance in Å.
Fractional coordinates of all 12 atoms:
Zn (0.1150, 0.2500, 0.1988)  4 Cu 2.54-2.64, 5 Ga 2.61-2.81
Zn (0.3850, 0.7500, 0.6988)  4 Cu 2.54-2.64, 5 Ga 2.61-2.81
Zn (0.6150, 0.2500, 0.3012)  4 Cu 2.54-2.64, 5 Ga 2.61-2.81
Zn (0.8850, 0.7500, 0.8012)  4 Cu 2.54-2.64, 5 Ga 2.61-2.81
Ga (0.1331, 0.2500, 0.7768)  4 Cu 2.48-2.57, 3 Zn 2.61-2.75
Ga (0.3669, 0.7500, 0.2768)  4 Cu 2.48-2.57, 3 Zn 2.61-2.75
Ga (0.6331, 0.2500, 0.7232)  4 Cu 2.48-2.57, 3 Zn 2.61-2.75
Ga (0.8669, 0.7500, 0.2232)  4 Cu 2.48-2.57, 3 Zn 2.61-2.75
Cu (0.1083, 0.7500, 0.4979)  4 Ga 2.48-2.57, 4 Zn 2.54-2.64, 2 Cu 2.57
Cu (0.3917, 0.2500, 0.9979)  4 Ga 2.48-2.57, 4 Zn 2.54-2.64, 2 Cu 2.57
Cu (0.6083, 0.7500, 0.0021)  4 Ga 2.48-2.57, 4 Zn 2.54-2.64, 2 Cu 2.57
Cu (0.8917, 0.2500, 0.5021)  4 Ga 2.48-2.57, 4 Zn 2.54-2.64, 2 Cu 2.57

Values from the calculation:
Energy of formation ... -0.0592 eV/atom
Magnetic moment ... 0.00 μB per formula unit
V ... 47 Å³/f.u.
Final energy ... -34.30 eV/cell
Excess energy over the best structure of this formula in the dataset ... 0.000 eV per atom

=====

[8]
Entry from Alexandria via LeMat-Bulk: a relaxed Zn2GaCu2 crystal (PBE-GGA).

Lattice parameters (Å, degrees): 6.7649 6.7649 6.7649 149.81 149.81 43.22
Last column: nearest neighbours and their distance in Å.
Fractional coordinates of all 5 atoms:
Zn (0.1030, 0.1030, 0.0000)  4 Cu 2.55, 1 Zn 2.59, 4 Ga 2.81
Zn (0.8970, 0.8970, 0.0000)  4 Cu 2.55, 1 Zn 2.59, 4 Ga 2.81
Ga (0.5000, 0.5000, 0.0000)  8 Zn 2.81
Cu (0.2500, 0.7500, 0.5000)  4 Cu 2.49, 4 Zn 2.55
Cu (0.7500, 0.2500, 0.5000)  4 Cu 2.49, 4 Zn 2.55

Values from the calculation:
Energy of formation ... 0.1170 eV/atom
Magnetic moment ... 0.00 μB per formula unit
V ... 78 Å³/f.u.
Final energy ... -13.18 eV/cell

=====

[9]
Entry from Alexandria via LeMat-Bulk: a relaxed Zn3GaCu2 crystal (PBE-GGA).

Lattice parameters (Å, degrees): 5.6693 5.6693 5.6695 95.06 95.06 98.26
Last column: nearest neighbours and their distance in Å.
Fractional coordinates of all 12 atoms:
Zn (0.1479, 0.2134, 0.9733)  4 Cu 2.56-2.84, 3 Zn 2.63-2.79, 2 Ga 2.68-2.84
Zn (0.2020, 0.7980, 0.7500)  1 Ga 2.48, 4 Cu 2.56, 4 Zn 2.63-2.64
Zn (0.2134, 0.1479, 0.4733)  4 Cu 2.56-2.84, 3 Zn 2.63-2.79, 2 Ga 2.68-2.84
Zn (0.7866, 0.8521, 0.5267)  4 Cu 2.56-2.84, 3 Zn 2.63-2.79, 2 Ga 2.68-2.84
Zn (0.7980, 0.2020, 0.2500)  1 Ga 2.48, 4 Cu 2.56, 4 Zn 2.63-2.64
Zn (0.8521, 0.7866, 0.0267)  4 Cu 2.56-2.84, 3 Zn 2.63-2.79, 2 Ga 2.68-2.84
Ga (0.4913, 0.5087, 0.7500)  3 Zn 2.48-2.68, 2 Cu 2.51
Ga (0.5087, 0.4913, 0.2500)  3 Zn 2.48-2.68, 2 Cu 2.51
Cu (0.1025, 0.5869, 0.3273)  1 Ga 2.51, 4 Zn 2.56-2.75, 2 Cu 2.56-2.57
Cu (0.4131, 0.8975, 0.1727)  1 Ga 2.51, 4 Zn 2.56-2.75, 2 Cu 2.56-2.57
Cu (0.5869, 0.1025, 0.8273)  1 Ga 2.51, 4 Zn 2.56-2.75, 2 Cu 2.56-2.57
Cu (0.8975, 0.4131, 0.6727)  1 Ga 2.51, 4 Zn 2.56-2.75, 2 Cu 2.56-2.57

Values from the calculation:
Energy of formation ... 0.0677 eV/atom
Magnetic moment ... 0.00 μB per formula unit
V ... 89 Å³/f.u.
Final energy ... -29.27 eV/cell
Excess energy over the best structure of this formula in the dataset ... 0.118 eV per atom

=====

[10]
Entry from Alexandria via LeMat-Bulk: a relaxed ZnGa3Cu crystal (PBE-GGA).

Lattice parameters (Å, degrees): 4.7144 4.7144 4.7144 90.00 90.00 90.00
Last column: nearest neighbours and their distance in Å.
Fractional coordinates of all 5 atoms:
Zn (0.0000, 0.0000, 0.0000)  12 Ga 3.33
Ga (0.0000, 0.5000, 0.5000)  2 Cu 2.36
Ga (0.5000, 0.0000, 0.5000)  2 Cu 2.36
Ga (0.5000, 0.5000, 0.0000)  2 Cu 2.36
Cu (0.5000, 0.5000, 0.5000)  6 Ga 2.36

Values from the calculation:
Energy of formation ... 0.2246 eV/atom
Magnetic moment ... 0.00 μB per formula unit
V ... 105 Å³/f.u.
Final energy ... -13.33 eV/cell
Excess energy over the best structure of this formula in the dataset ... 0.217 eV per atom

=====

[11]
Entry from Alexandria via LeMat-Bulk: a relaxed Zn5Ga2Cu12 crystal (PBE-GGA).

Lattice parameters (Å, degrees): 6.8353 6.8353 8.0586 124.86 124.86 68.12
Last column: nearest neighbours and their distance in Å.
Fractional coordinates of all 19 atoms:
Zn (0.0000, 0.0000, 0.0000)  10 Cu 2.55-2.76, 2 Zn 2.61
Zn (0.3007, 0.3007, 0.1867)  7 Cu 2.55-2.64, 2 Zn 2.61-2.62, 2 Ga 2.68
Zn (0.3132, 0.3132, 0.8740)  6 Cu 2.50-2.69, 1 Zn 2.62
Zn (0.6868, 0.6868, 0.1260)  6 Cu 2.50-2.69, 1 Zn 2.62
Zn (0.6993, 0.6993, 0.8133)  7 Cu 2.55-2.64, 2 Zn 2.61-2.62, 2 Ga 2.68
Ga (0.2523, 0.7477, 0.5000)  8 Cu 2.49-2.79, 2 Zn 2.68
Ga (0.7477, 0.2523, 0.5000)  8 Cu 2.49-2.79, 2 Zn 2.68
Cu (0.0201, 0.5702, 0.6907)  3 Zn 2.50-2.57, 7 Cu 2.51-2.71, 1 Ga 2.55
Cu (0.1057, 0.1057, 0.4276)  2 Ga 2.54, 7 Cu 2.56-2.69, 2 Zn 2.61-2.76
Cu (0.1309, 0.6748, 0.1135)  1 Ga 2.49, 4 Zn 2.53-2.64, 5 Cu 2.59-2.71
Cu (0.3252, 0.8691, 0.8865)  1 Ga 2.49, 4 Zn 2.53-2.64, 5 Cu 2.59-2.71
Cu (0.4095, 0.4095, 0.6487)  3 Zn 2.55-2.83, 7 Cu 2.56-2.66, 2 Ga 2.79
Cu (0.4298, 0.9799, 0.3093)  3 Zn 2.50-2.57, 7 Cu 2.51-2.71, 1 Ga 2.55
Cu (0.5702, 0.0201, 0.6907)  3 Zn 2.50-2.57, 7 Cu 2.51-2.71, 1 Ga 2.55
Cu (0.5905, 0.5905, 0.3513)  3 Zn 2.55-2.83, 7 Cu 2.56-2.66, 2 Ga 2.79
Cu (0.6748, 0.1309, 0.1135)  1 Ga 2.49, 4 Zn 2.53-2.64, 5 Cu 2.59-2.71
Cu (0.8691, 0.3252, 0.8865)  1 Ga 2.49, 4 Zn 2.53-2.64, 5 Cu 2.59-2.71
Cu (0.8943, 0.8943, 0.5724)  2 Ga 2.54, 7 Cu 2.56-2.69, 2 Zn 2.61-2.76
Cu (0.9799, 0.4298, 0.3093)  3 Zn 2.50-2.57, 7 Cu 2.51-2.71, 1 Ga 2.55

Values from the calculation:
Energy of formation ... -0.0297 eV/atom
Magnetic moment ... 0.00 μB per formula unit
V ... 253 Å³/f.u.
Final energy ... -62.14 eV/cell
Excess energy over the best structure of this formula in the dataset ... 0.017 eV per atom

=====

[12]
Entry from Alexandria via LeMat-Bulk: a relaxed ZnGaCu2 crystal (PBE-GGA).

Lattice parameters (Å, degrees): 4.7207 4.7207 4.7207 51.65 51.65 51.65
Last column: nearest neighbours and their distance in Å.
Fractional coordinates of all 4 atoms:
Zn (0.0000, 0.0000, 0.0000)  4 Ga 2.54-2.83, 7 Cu 2.60-2.79
Ga (0.2078, 0.2078, 0.2078)  6 Cu 2.42-2.61, 1 Zn 2.54
Cu (0.5800, 0.5800, 0.5800)  3 Ga 2.42, 1 Cu 2.53, 3 Zn 2.60
Cu (0.7869, 0.7869, 0.7869)  4 Cu 2.53-2.83, 3 Ga 2.61, 4 Zn 2.61-2.79

Values from the calculation:
Energy of formation ... 0.0440 eV/atom
Magnetic moment ... 0.00 μB per formula unit
V ... 60 Å³/f.u.
Final energy ... -12.32 eV/cell